Y2Er8Tm3 (PBE-GGA, optimized geometry); distance to the lowest polymorph of the same formula = 71 meV/atom; symmetry = No. 10; energy of formation = 23 kJ per mole of atoms; DOS(E_F) = 1.67 states/eV per atom
1.0
0.355 4.000 3.780
5.328 -3.871 3.596
4.449 6.572 -7.371
Y Er Tm
2 8 3
Direct
0.500 0.241 0.483
0.500 0.759 0.517
0.500 0.394 0.215
0.500 0.179 0.785
0.000 0.131 0.262
0.500 0.821 0.215
0.500 0.606 0.785
0.000 0.336 0.674
0.000 0.664 0.326
0.000 0.869 0.738
0.000 0.717 0.000
0.000 0.283 0.000
0.500 0.000 0.000



Zr2TlSe (PBE-GGA, optimized geometry); distance to the lowest polymorph of the same formula = 378 meV/atom; symmetry = No. 119; E_form (uncorrected) = -0.2034 eV/atom; DOS(E_F) = 1.13 states/eV per atom
1.0
-1.440 5.679 0.482
-4.723 2.065 -2.825
1.406 -4.496 3.517
Zr Se Tl
2 1 1
Direct
0.250 0.750 0.500
0.000 0.000 0.000
0.500 0.500 0.000
0.750 0.250 0.500



AlTe2Pb (PBE-GGA, optimized geometry); symmetry = No. 12; E_form (uncorrected) = 0.0542 eV/atom; DOS(E_F) = 0.30 states/eV per atom
1.0
-4.096 -2.343 -2.707
4.523 -2.120 -2.155
-0.051 -3.569 2.229
Te Pb Al
2 1 1
Direct
0.000 0.000 0.000
0.500 0.500 0.000
0.000 0.500 0.500
0.500 0.000 0.500



CeSm3N3 (PBE-GGA, optimized geometry); distance to the lowest polymorph of the same formula = 0 meV/atom; symmetry = No. 194; E_form (uncorrected) = -1.1261 eV/atom; DOS(E_F) = 0.88 states/eV per atom
1.0
-2.236 2.113 -4.213
-4.759 -6.572 -0.770
-2.487 6.328 4.495
Sm Ce N
6 2 6
Direct
0.750 0.834 0.166
0.250 0.669 0.834
0.750 0.331 0.166
0.750 0.834 0.669
0.250 0.166 0.331
0.250 0.166 0.834
0.750 0.333 0.667
0.250 0.667 0.333
0.250 0.832 0.665
0.250 0.832 0.168
0.750 0.665 0.832
0.750 0.168 0.335
0.750 0.168 0.832
0.250 0.335 0.168